(1)
Li4Ni after structural relaxation. Source: Alexandria, functional GGA-PBEsol.

## Properties
The energy above the most stable polymorph in this dataset comes out at 0 meV/atom. As for the crystal system: tetragonal. The formation enthalpy at 0 K is 0.1130 eV/atom. The theoretical density comes out at 2.03 g/cm³.

abc: 6.005 6.005 3.932
angles: 90.00 90.00 90.00
Space group I4/m (No. 87)
Asymmetric unit:
Li 0.108 0.713 0.000
Ni 0.000 0.000 0.500

(2)
LiNi2 after structural relaxation. Source: Alexandria, functional GGA-PBEsol.

## Properties
As for the crystal system: monoclinic. The formation enthalpy at 0 K is -0.0013 eV/atom. The theoretical density comes out at 6.52 g/cm³.

abc: 9.103 2.422 5.992
angles: 90.00 106.55 90.00
Space group Cm (No. 8)
Asymmetric unit:
Li 0.000 0.000 0.000
Li 0.161 0.500 0.351
Ni 0.109 0.500 0.721
Ni 0.279 0.000 0.056
Ni 0.332 0.000 0.680
Ni 0.427 0.500 0.397

(3)
LiNi after structural relaxation. Source: Alexandria, functional GGA-PBEsol.

## Properties
As for the crystal system: orthorhombic. The formation enthalpy at 0 K is 0.1047 eV/atom. The theoretical density comes out at 4.90 g/cm³.

abc: 2.527 4.178 8.434
angles: 90.00 90.00 90.00
Space group Imma (No. 74)
Asymmetric unit:
Li 0.000 0.250 0.119
Ni 0.000 0.250 0.634

(4)
LiNi2 after structural relaxation. Source: Alexandria, functional GGA-PBEsol.

## Properties
As for the crystal system: orthorhombic. The formation enthalpy at 0 K is 0.0073 eV/atom. The theoretical density comes out at 6.54 g/cm³.

abc: 4.902 6.966 14.796
angles: 90.00 90.00 90.00
Space group Fddd (No. 70, origin choice 2)
Asymmetric unit:
Li 0.125 0.125 0.041
Ni 0.125 0.125 0.382
Ni 0.125 0.125 0.546

(5)
LiNi3 after structural relaxation. Source: Alexandria, functional GGA-PBEsol.

## Properties
As for the crystal system: hexagonal. The formation enthalpy at 0 K is 0.0276 eV/atom. The theoretical density comes out at 7.16 g/cm³.

abc: 2.4459 2.4459 8.1936
angles: 90.00 90.00 120.00
Space group P-6m2 (No. 187)
Asymmetric unit:
Li 0.0000 0.0000 0.0000
Ni 0.0000 0.0000 0.5000
Ni 0.3333 0.6667 0.2561

(6)
LiNi after structural relaxation. Source: Alexandria, functional GGA-PBEsol.

## Properties
As for the crystal system: tetragonal. The formation enthalpy at 0 K is 0.1072 eV/atom. The theoretical density comes out at 4.91 g/cm³.

abc: 2.391 2.391 3.879
angles: 90.00 90.00 90.00
Space group P4/mmm (No. 123)
Asymmetric unit:
Li 0.000 0.000 0.000
Ni 0.500 0.500 0.500

(7)
LiNi4 after structural relaxation. Source: Alexandria, functional GGA-PBEsol.

## Properties
As for the crystal system: tetragonal. The formation enthalpy at 0 K is 0.0365 eV/atom. The theoretical density comes out at 7.78 g/cm³.

abc: 5.434 5.434 3.494
angles: 90.00 90.00 90.00
Space group I4/m (No. 87)
Asymmetric unit:
Li 0.000 0.000 0.000
Ni 0.100 0.303 0.500

(8)
LiNi3 after structural relaxation. Source: Alexandria, functional GGA-PBEsol.

## Properties
As for the crystal system: monoclinic. The formation enthalpy at 0 K is 0.0602 eV/atom. The theoretical density comes out at 7.30 g/cm³.

abc: 2.376 4.009 4.394
angles: 90.00 95.86 90.00
Space group P2/m (No. 10)
Asymmetric unit:
Li 0.000 0.000 0.000
Ni 0.230 0.500 0.748
Ni 0.500 0.000 0.500

(9)
LiNi3 after structural relaxation. Source: Alexandria, functional GGA-PBEsol.

## Properties
As for the crystal system: orthorhombic. The formation enthalpy at 0 K is 0.0550 eV/atom. The theoretical density comes out at 7.27 g/cm³.

abc: 2.405 3.581 4.854
angles: 90.00 90.00 90.00
Space group Pmmm (No. 47)
Asymmetric unit:
Li 0.000 0.000 0.000
Ni 0.000 0.000 0.500
Ni 0.500 0.500 0.255

(10)
LiNi2 after structural relaxation. Source: Alexandria, functional GGA-PBEsol.

## Properties
As for the crystal system: hexagonal. The formation enthalpy at 0 K is 0.0153 eV/atom. The theoretical density comes out at 5.86 g/cm³.

abc: 4.6374 4.6374 15.1399
angles: 90.00 90.00 120.00
Space group P6_3/mmc (No. 194)
Asymmetric unit:
Li 0.0000 0.0000 0.0916
Li 0.3333 0.6667 0.1560
Ni 0.0000 0.5000 0.0000
Ni 0.1642 0.3284 0.7500
Ni 0.3333 0.6667 0.6249

(11)
LiNi3 after structural relaxation. Source: Alexandria, functional GGA-PBEsol.

## Properties
As for the crystal system: tetragonal. The formation enthalpy at 0 K is 0.0568 eV/atom. The theoretical density comes out at 7.34 g/cm³.

abc: 4.046 4.046 2.529
angles: 90.00 90.00 90.00
Space group P4/mmm (No. 123)
Asymmetric unit:
Li 0.000 0.000 0.000
Ni 0.000 0.500 0.500
Ni 0.500 0.500 0.000

(12)
LiNi2O4 after structural relaxation. Source: Alexandria, functional GGA-PBEsol.

## Properties
The energy above the most stable polymorph in this dataset comes out at 53 meV/atom. As for the crystal system: orthorhombic. The uncorrected formation energy comes out at -1074 meV/atom. The theoretical density comes out at 4.88 g/cm³.

abc: 5.621 5.642 8.077
angles: 90.00 90.00 90.00
Space group Imma (No. 74)
Asymmetric unit:
Li 0.000 0.000 0.000
Ni 0.000 0.000 0.500
Ni 0.250 0.250 0.250
O 0.000 0.032 0.254
O 0.229 0.250 0.480

(13)
LiNi4O5 after structural relaxation. Source: Alexandria, functional GGA-PBEsol.

## Properties
As for the crystal system: tetragonal. The uncorrected formation energy comes out at -861 meV/atom. The theoretical density comes out at 6.38 g/cm³.

abc: 6.422 6.422 4.058
angles: 90.00 90.00 90.00
Space group I4/m (No. 87)
Asymmetric unit:
Li 0.000 0.000 0.000
Ni 0.101 0.295 0.500
O 0.000 0.000 0.500
O 0.115 0.312 0.000

(14)
LiNi2O4 after structural relaxation. Source: Alexandria, functional GGA-PBEsol.

## Properties
The energy above the most stable polymorph in this dataset comes out at 37 meV/atom. As for the crystal system: hexagonal. The uncorrected formation energy comes out at -1090 meV/atom. The theoretical density comes out at 5.06 g/cm³.

abc: 5.6007 5.6007 9.0971
angles: 90.00 90.00 120.00
Space group P6_3mc (No. 186)
Asymmetric unit:
Li 0.0000 0.0000 0.0000
Li 0.3333 0.6667 0.3993
Ni 0.1698 0.3396 0.7180
Ni 0.3333 0.6667 0.9935
O 0.0000 0.0000 0.3088
O 0.0388 0.5194 0.8436
O 0.1640 0.3280 0.1041
O 0.3333 0.6667 0.6147

(15)
Li4Ni5O10 after structural relaxation. Source: Alexandria, functional GGA-PBEsol.

## Properties
As for the crystal system: triclinic. The uncorrected formation energy comes out at -1221 meV/atom. The theoretical density comes out at 4.87 g/cm³.

abc: 4.999 5.723 6.343
angles: 104.14 96.89 107.47
Space group P-1 (No. 2)
Asymmetric unit:
Li 0.097 0.193 0.191
Li 0.305 0.615 0.614
Ni 0.105 0.702 0.201
Ni 0.297 0.097 0.602
Ni 0.500 0.500 0.000
O 0.015 0.764 0.490
O 0.174 0.625 0.908
O 0.187 0.173 0.880
O 0.381 0.035 0.320
O 0.403 0.575 0.287

(16)
Li4Ni7O14 after structural relaxation. Source: Alexandria, functional GGA-PBEsol.

## Properties
As for the crystal system: triclinic. The uncorrected formation energy comes out at -1118 meV/atom. The theoretical density comes out at 4.81 g/cm³.

abc: 4.865 6.372 7.576
angles: 86.84 79.16 83.28
Space group P-1 (No. 2)
Asymmetric unit:
Li 0.075 0.358 0.359
Li 0.221 0.075 0.074
Ni 0.000 0.500 0.000
Ni 0.141 0.210 0.718
Ni 0.288 0.924 0.432
Ni 0.430 0.639 0.144
O 0.018 0.952 0.668
O 0.096 0.771 0.057
O 0.168 0.668 0.378
O 0.232 0.473 0.772
O 0.312 0.385 0.095
O 0.376 0.186 0.491
O 0.460 0.103 0.816

(17)
LiNiO2 after structural relaxation. Source: Alexandria, functional GGA-PBEsol.

## Properties
As for the crystal system: orthorhombic. The uncorrected formation energy comes out at -1266 meV/atom. The theoretical density comes out at 5.10 g/cm³.

abc: 8.092 5.616 5.594
angles: 90.00 90.00 90.00
Space group Pmna (No. 53)
Asymmetric unit:
Li 0.000 0.000 0.000
Li 0.000 0.500 0.000
Li 0.250 0.249 0.250
Ni 0.000 0.000 0.500
Ni 0.000 0.500 0.500
Ni 0.250 0.249 0.750
O 0.000 0.249 0.275
O 0.000 0.267 0.738
O 0.232 0.500 0.500
O 0.235 0.000 0.500

(18)
Li7Ni8O16 after structural relaxation. Source: Alexandria, functional GGA-PBEsol.

## Properties
As for the crystal system: triclinic. The uncorrected formation energy comes out at -1250 meV/atom. The theoretical density comes out at 4.89 g/cm³.

abc: 6.382 6.435 7.482
angles: 64.98 75.27 72.69
Space group P-1 (No. 2)
Asymmetric unit:
Li 0.000 0.000 0.000
Li 0.135 0.862 0.380
Li 0.262 0.742 0.743
Li 0.379 0.624 0.132
Ni 0.068 0.438 0.689
Ni 0.184 0.312 0.065
Ni 0.312 0.194 0.436
Ni 0.441 0.063 0.811
O 0.031 0.243 0.329
O 0.075 0.652 0.036
O 0.177 0.114 0.709
O 0.195 0.514 0.409
O 0.300 0.976 0.088
O 0.323 0.390 0.801
O 0.406 0.881 0.455
O 0.445 0.276 0.164

(19)
LiNiO2 after structural relaxation. Source: Alexandria, functional GGA-PBEsol.

## Properties
As for the crystal system: monoclinic. The uncorrected formation energy comes out at -1265 meV/atom. The theoretical density comes out at 5.11 g/cm³.

abc: 7.913 8.113 7.914
angles: 90.00 90.15 90.00
Space group C2/m (No. 12)
Asymmetric unit:
Li 0.000 0.000 0.000
Li 0.000 0.500 0.500
Li 0.249 0.000 0.749
Li 0.250 0.250 0.000
Li 0.250 0.250 0.500
Ni 0.000 0.000 0.500
Ni 0.000 0.249 0.250
Ni 0.000 0.500 0.000
Ni 0.250 0.000 0.250
O 0.000 0.234 0.500
O 0.000 0.267 0.000
O 0.008 0.500 0.757
O 0.009 0.000 0.251
O 0.238 0.000 0.488
O 0.238 0.500 0.989
O 0.250 0.234 0.250

no.,final energy (eV per cell)
1,-26.9
2,-57.1
3,-31.7
4,-228.2
5,-20.3
6,-7.9
7,-52.8
8,-20.2
9,-20.2
10,-113.9
11,-20.2
12,-171.2
13,-122.9
14,-171.6
15,-114.4
16,-152.4
17,-189.5
18,-185.8
19,-378.9